(1)
# MoRu2 PBEsol optimized geometry
data_MoRu2
_cell_length_a 9.8990
_cell_length_b 2.7112
_cell_length_c 6.4147
_cell_angle_alpha 90.00
_cell_angle_beta 103.90
_cell_angle_gamma 90.00
_space_group_name_H-M_alt 'C 1 2/m 1'
_space_group_IT_number 12
_space_group_name_Hall '-C 2y'
loop_
_atom_site_label
_atom_site_type_symbol
_atom_site_fract_x
_atom_site_fract_y
_atom_site_fract_z
Mo1 Mo 0.0316 0.0000 0.3013
Ru1 Ru 0.1426 0.5000 0.0257
Ru2 Ru 0.1966 0.5000 0.6377
# Calculated formation energy in eV per formula unit: 0.0
# Density of states at the Fermi level in states/eV per atom: 0.803
# Crystal system: monoclinic

=====

(2)
# RbCrCu2H PBEsol optimized geometry
data_RbCrCu2H
_cell_length_a 5.0739
_cell_length_b 5.0739
_cell_length_c 3.6233
_cell_angle_alpha 90.00
_cell_angle_beta 90.00
_cell_angle_gamma 90.00
_space_group_name_H-M_alt 'P 4/m m m'
_space_group_IT_number 123
_space_group_name_Hall '-P 4 2'
loop_
_atom_site_label
_atom_site_type_symbol
_atom_site_fract_x
_atom_site_fract_y
_atom_site_fract_z
Rb1 Rb 0.0000 0.0000 0.0000
Cr1 Cr 0.5000 0.5000 0.5000
Cu1 Cu 0.0000 0.5000 0.5000
H1 H 0.5000 0.5000 0.0000
# Density of states at the Fermi level in states/eV per atom: 0.246
# Crystal system: tetragonal
# E_tot in eV/atom: -3.774

=====

(3)
# CaAg4Au PBEsol optimized geometry
data_CaAg4Au
_cell_length_a 7.6801
_cell_length_b 7.6801
_cell_length_c 7.6801
_cell_angle_alpha 90.00
_cell_angle_beta 90.00
_cell_angle_gamma 90.00
_space_group_name_H-M_alt 'F -4 3 m'
_space_group_IT_number 216
_space_group_name_Hall 'F -4 2 3'
loop_
_atom_site_label
_atom_site_type_symbol
_atom_site_fract_x
_atom_site_fract_y
_atom_site_fract_z
Ca1 Ca 0.0000 0.0000 0.0000
Ag1 Ag 0.1247 0.1247 0.3753
Au1 Au 0.2500 0.2500 0.7500
# Calculated formation energy in eV per formula unit: -1.2
# Density of states at the Fermi level in states/eV per atom: 0.367
# Crystal system: cubic

=====

Q: Among the records above, which one has the highest density of states at the Fermi level?
A: MoRu2

=====

Q: What is the density of states at the Fermi level in the first record?
A: 0.803 states/eV per atom